No. 1
Density functional theory data (PBE) for crystalline CsRb2Ag2Br7 at its relaxed geometry.

## Properties
Total moment, μB/cell: 0.00
Symmetry: I4/mmm, No. 139
Uncorrected formation energy, kJ/mol of formula units: -1186
Electronic total energy, eV for the cell shown: -32.49

Unit cell a=14.496 b=14.496 c=14.496 alpha=158.18 beta=158.18 gamma=31.05
Fractional positions:
Cs1 0.000 0.000 0.000
Rb1 0.180 0.180 0.000
Rb2 0.820 0.820 0.000
Ag1 0.402 0.402 0.000
Ag2 0.598 0.598 0.000
Br1 0.096 0.596 0.500
Br2 0.305 0.305 0.000
Br3 0.404 0.904 0.500
Br4 0.500 0.500 0.000
Br5 0.596 0.096 0.500
Br6 0.695 0.695 0.000
Br7 0.904 0.404 0.500



No. 2
Density functional theory data (PBE) for crystalline Cs2RbAgBr4 at its relaxed geometry.

## Properties
Total moment, μB/cell: 0.19
Symmetry: Cmcm, No. 63
Uncorrected formation energy, kJ/mol of formula units: -1071
Electronic total energy, eV for the cell shown: -46.63

Unit cell a=8.335 b=8.335 c=18.234 alpha=90.00 beta=90.00 gamma=146.13
Fractional positions:
Cs1 0.140 0.860 0.557
Cs2 0.140 0.860 0.943
Cs3 0.860 0.140 0.057
Cs4 0.860 0.140 0.443
Rb1 0.395 0.605 0.750
Rb2 0.605 0.395 0.250
Ag1 0.327 0.673 0.250
Ag2 0.673 0.327 0.750
Br1 0.081 0.919 0.750
Br2 0.213 0.787 0.139
Br3 0.213 0.787 0.361
Br4 0.500 0.500 0.000
Br5 0.500 0.500 0.500
Br6 0.787 0.213 0.639
Br7 0.787 0.213 0.861
Br8 0.919 0.081 0.250



No. 3
Density functional theory data (PBE) for crystalline Cs3RbAg2Br9 at its relaxed geometry.

## Properties
Total moment, μB/cell: 0.00
Symmetry: P-3m1, No. 164
Uncorrected formation energy, kJ/mol of formula units: -1476
Electronic total energy, eV for the cell shown: -39.59

Unit cell a=7.734 b=7.734 c=11.416 alpha=90.00 beta=90.00 gamma=120.00
Fractional positions:
Cs1 0.000 0.000 0.000
Cs2 0.333 0.667 0.738
Cs3 0.667 0.333 0.262
Rb1 0.000 0.000 0.500
Ag1 0.333 0.667 0.144
Ag2 0.667 0.333 0.856
Br1 0.000 0.500 0.000
Br2 0.166 0.333 0.273
Br3 0.166 0.834 0.273
Br4 0.333 0.166 0.727
Br5 0.500 0.000 0.000
Br6 0.500 0.500 0.000
Br7 0.667 0.834 0.273
Br8 0.834 0.166 0.727
Br9 0.834 0.667 0.727



No. 4
Density functional theory data (PBE) for crystalline CsRb2AgBr6 at its relaxed geometry.

## Properties
Total moment, μB/cell: 1.99
Symmetry: Fm-3m, No. 225
Uncorrected formation energy, kJ/mol of formula units: -952
Electronic total energy, eV for the cell shown: -25.55

Unit cell a=8.486 b=8.486 c=8.486 alpha=60.00 beta=60.00 gamma=60.00
Fractional positions:
Cs1 0.000 0.000 0.000
Rb1 0.250 0.250 0.250
Rb2 0.750 0.750 0.750
Ag1 0.500 0.500 0.500
Br1 0.278 0.278 0.722
Br2 0.278 0.722 0.278
Br3 0.278 0.722 0.722
Br4 0.722 0.278 0.278
Br5 0.722 0.278 0.722
Br6 0.722 0.722 0.278



No. 5
Density functional theory data (PBE) for crystalline CsRbAgBr at its relaxed geometry.

## Properties
Total moment, μB/cell: 0.00
Symmetry: F-43m, No. 216
Uncorrected formation energy, kJ/mol of formula units: -298
Electronic total energy, eV for the cell shown: -9.43

Unit cell a=6.206 b=6.206 c=6.206 alpha=60.00 beta=60.00 gamma=60.00
Fractional positions:
Cs1 0.000 0.000 0.000
Rb1 0.500 0.500 0.500
Ag1 0.750 0.750 0.750
Br1 0.250 0.250 0.250



No. 6
Density functional theory data (PBE) for crystalline Cs2ReAgBr at its relaxed geometry.

## Properties
Total moment, μB/cell: 4.18
Symmetry: P4/mmm, No. 123
Uncorrected formation energy, kJ/mol of formula units: 460
Electronic total energy, eV for the cell shown: -13.91

Unit cell a=6.879 b=6.879 c=5.447 alpha=90.00 beta=90.00 gamma=90.00
Fractional positions:
Cs1 0.000 0.500 0.000
Cs2 0.500 0.000 0.000
Re1 0.000 0.000 0.500
Ag1 0.500 0.500 0.500
Br1 0.500 0.500 0.000



No. 7
Density functional theory data (PBE) for crystalline CsReAg2Br8 at its relaxed geometry.

## Properties
Total moment, μB/cell: 2.33
Symmetry: P-1, No. 2
Uncorrected formation energy, kJ/mol of formula units: -623
Electronic total energy, eV for the cell shown: -38.84

Unit cell a=6.793 b=7.341 c=8.932 alpha=77.99 beta=83.90 gamma=87.91
Fractional positions:
Cs1 0.000 0.000 0.000
Re1 0.000 0.500 0.500
Ag1 0.492 0.515 0.803
Ag2 0.508 0.485 0.197
Br1 0.075 0.519 0.769
Br2 0.173 0.800 0.396
Br3 0.320 0.320 0.465
Br4 0.488 0.221 0.027
Br5 0.512 0.779 0.973
Br6 0.680 0.680 0.535
Br7 0.827 0.200 0.604
Br8 0.925 0.481 0.231



No. 8
Density functional theory data (PBE) for crystalline Cs2AgRuBr6 at its relaxed geometry.

## Properties
Total moment, μB/cell: 2.02
Symmetry: R-3m, No. 166
Uncorrected formation energy, kJ/mol of formula units: -857
Electronic total energy, eV for the cell shown: -65.51

Unit cell a=13.790 b=13.790 c=13.790 alpha=32.51 beta=32.51 gamma=32.51
Fractional positions:
Cs1 0.124 0.124 0.124
Cs2 0.294 0.294 0.294
Cs3 0.706 0.706 0.706
Cs4 0.876 0.876 0.876
Ag1 0.412 0.412 0.412
Ag2 0.588 0.588 0.588
Ru1 0.000 0.000 0.000
Ru2 0.500 0.500 0.500
Br1 0.152 0.617 0.617
Br2 0.193 0.193 0.727
Br3 0.193 0.727 0.193
Br4 0.273 0.807 0.807
Br5 0.383 0.383 0.848
Br6 0.383 0.848 0.383
Br7 0.617 0.152 0.617
Br8 0.617 0.617 0.152
Br9 0.727 0.193 0.193
Br10 0.807 0.273 0.807
Br11 0.807 0.807 0.273
Br12 0.848 0.383 0.383



No. 9
Density functional theory data (PBE) for crystalline CsAg2RuBr8 at its relaxed geometry.

## Properties
Total moment, μB/cell: 2.86
Symmetry: P-1, No. 2
Uncorrected formation energy, kJ/mol of formula units: -562
Electronic total energy, eV for the cell shown: -35.04

Unit cell a=6.620 b=6.626 c=10.609 alpha=87.91 beta=89.11 gamma=67.43
Fractional positions:
Cs1 0.000 0.000 0.000
Ag1 0.328 0.328 0.306
Ag2 0.672 0.672 0.694
Ru1 0.000 0.000 0.500
Br1 0.218 0.740 0.668
Br2 0.227 0.226 0.529
Br3 0.256 0.786 0.335
Br4 0.314 0.345 0.069
Br5 0.686 0.655 0.931
Br6 0.744 0.214 0.665
Br7 0.773 0.774 0.471
Br8 0.782 0.260 0.332



No. 10
Density functional theory data (PBE) for crystalline Cs4Ag3SbBr12 at its relaxed geometry.

## Properties
Total moment, μB/cell: 0.00
Symmetry: Im-3m, No. 229
Uncorrected formation energy, kJ/mol of formula units: -1906
Electronic total energy, eV for the cell shown: -55.92

Unit cell a=9.675 b=9.675 c=9.675 alpha=109.47 beta=109.47 gamma=109.47
Fractional positions:
Cs1 0.000 0.000 0.500
Cs2 0.000 0.500 0.000
Cs3 0.500 0.000 0.000
Cs4 0.500 0.500 0.500
Ag1 0.000 0.500 0.500
Ag2 0.500 0.000 0.500
Ag3 0.500 0.500 0.000
Sb1 0.000 0.000 0.000
Br1 0.000 0.246 0.246
Br2 0.000 0.754 0.754
Br3 0.246 0.000 0.246
Br4 0.246 0.246 0.000
Br5 0.250 0.500 0.750
Br6 0.250 0.750 0.500
Br7 0.500 0.250 0.750
Br8 0.500 0.750 0.250
Br9 0.750 0.250 0.500
Br10 0.750 0.500 0.250
Br11 0.754 0.000 0.754
Br12 0.754 0.754 0.000



No. 11
Density functional theory data (PBE) for crystalline CsAg2SbBr8 at its relaxed geometry.

## Properties
Total moment, μB/cell: 0.00
Symmetry: P-1, No. 2
Uncorrected formation energy, kJ/mol of formula units: -668
Electronic total energy, eV for the cell shown: -30.98

Unit cell a=6.293 b=6.920 c=10.220 alpha=94.35 beta=105.73 gamma=90.74
Fractional positions:
Cs1 0.000 0.000 0.000
Ag1 0.136 0.521 0.706
Ag2 0.864 0.479 0.294
Sb1 0.500 0.000 0.500
Br1 0.181 0.778 0.317
Br2 0.229 0.313 0.485
Br3 0.243 0.502 0.972
Br4 0.383 0.863 0.721
Br5 0.617 0.137 0.279
Br6 0.757 0.498 0.028
Br7 0.771 0.687 0.515
Br8 0.819 0.222 0.683



No. 12
Density functional theory data (PBE) for crystalline CsScAg2Br6 at its relaxed geometry.

## Properties
Total moment, μB/cell: 0.00
Symmetry: C2/c, No. 15
Uncorrected formation energy, kJ/mol of formula units: -1100
Electronic total energy, eV for the cell shown: -68.64

Unit cell a=9.988 b=9.988 c=8.977 alpha=108.65 beta=108.65 gamma=86.71
Fractional positions:
Cs1 0.166 0.834 0.750
Cs2 0.834 0.166 0.250
Sc1 0.182 0.818 0.250
Sc2 0.818 0.182 0.750
Ag1 0.377 0.447 0.852
Ag2 0.447 0.377 0.352
Ag3 0.553 0.623 0.648
Ag4 0.623 0.553 0.148
Br1 0.040 0.190 0.681
Br2 0.166 0.606 0.001
Br3 0.190 0.040 0.181
Br4 0.281 0.452 0.541
Br5 0.394 0.834 0.499
Br6 0.452 0.281 0.041
Br7 0.548 0.719 0.959
Br8 0.606 0.166 0.501
Br9 0.719 0.548 0.459
Br10 0.810 0.960 0.819
Br11 0.834 0.394 0.999
Br12 0.960 0.810 0.319



No. 13
Density functional theory data (PBE) for crystalline CsAgSeBr6 at its relaxed geometry.

## Properties
Total moment, μB/cell: 0.00
Symmetry: C2, No. 5
Uncorrected formation energy, kJ/mol of formula units: -467
Electronic total energy, eV for the cell shown: -22.07

Unit cell a=7.313 b=7.313 c=7.998 alpha=90.39 beta=90.39 gamma=120.78
Fractional positions:
Cs1 0.000 0.000 0.000
Ag1 0.664 0.336 0.500
Se1 0.331 0.669 0.500
Br1 0.021 0.641 0.686
Br2 0.026 0.393 0.303
Br3 0.346 0.386 0.685
Br4 0.359 0.979 0.314
Br5 0.607 0.974 0.697
Br6 0.614 0.654 0.315



No. 14
Density functional theory data (PBE) for crystalline CsAgSeBr2 at its relaxed geometry.

## Properties
Total moment, μB/cell: 1.23
Symmetry: P4/mmm, No. 123
Uncorrected formation energy, kJ/mol of formula units: -278
Electronic total energy, eV for the cell shown: -13.42

Unit cell a=5.682 b=5.682 c=5.159 alpha=90.00 beta=90.00 gamma=90.00
Fractional positions:
Cs1 0.000 0.000 0.000
Ag1 0.500 0.500 0.500
Se1 0.500 0.500 0.000
Br1 0.000 0.500 0.500
Br2 0.500 0.000 0.500



No. 15
Density functional theory data (PBE) for crystalline CsAg2SeBr at its relaxed geometry.

## Properties
Total moment, μB/cell: 0.00
Symmetry: P4/mmm, No. 123
Uncorrected formation energy, kJ/mol of formula units: -275
Electronic total energy, eV for the cell shown: -14.56

Unit cell a=5.023 b=5.023 c=7.600 alpha=90.00 beta=90.00 gamma=90.00
Fractional positions:
Cs1 0.000 0.000 0.000
Ag1 0.000 0.500 0.500
Ag2 0.500 0.000 0.500
Se1 0.000 0.000 0.500
Br1 0.500 0.500 0.000



No. 16
Density functional theory data (PBE) for crystalline Cs3SmAg2Br8 at its relaxed geometry.

## Properties
Total moment, μB/cell: 0.00
Symmetry: P-3m1, No. 164
Uncorrected formation energy, kJ/mol of formula units: -1873
Electronic total energy, eV for the cell shown: -45.78

Unit cell a=8.022 b=8.022 c=10.610 alpha=90.00 beta=90.00 gamma=120.00
Fractional positions:
Cs1 0.000 0.000 0.000
Cs2 0.333 0.667 0.630
Cs3 0.667 0.333 0.370
Sm1 0.000 0.000 0.500
Ag1 0.333 0.667 0.193
Ag2 0.667 0.333 0.807
Br1 0.165 0.330 0.340
Br2 0.165 0.835 0.340
Br3 0.330 0.165 0.660
Br4 0.333 0.667 0.955
Br5 0.667 0.333 0.045
Br6 0.670 0.835 0.340
Br7 0.835 0.165 0.660
Br8 0.835 0.670 0.660



No. 17
Density functional theory data (PBE) for crystalline CsSm2AgBr8 at its relaxed geometry.

## Properties
Total moment, μB/cell: 0.00
Symmetry: P-3, No. 147
Uncorrected formation energy, kJ/mol of formula units: -1830
Electronic total energy, eV for the cell shown: -45.49

Unit cell a=7.574 b=7.574 c=8.993 alpha=90.00 beta=90.00 gamma=120.00
Fractional positions:
Cs1 0.000 0.000 0.000
Sm1 0.333 0.667 0.408
Sm2 0.667 0.333 0.592
Ag1 0.000 0.000 0.500
Br1 0.064 0.368 0.649
Br2 0.304 0.936 0.649
Br3 0.333 0.667 0.101
Br4 0.368 0.304 0.351
Br5 0.632 0.696 0.649
Br6 0.667 0.333 0.899
Br7 0.696 0.064 0.351
Br8 0.936 0.632 0.351



No. 18
Density functional theory data (PBE) for crystalline CsSmAgBr6 at its relaxed geometry.

## Properties
Total moment, μB/cell: 0.94
Symmetry: P1, No. 1
Uncorrected formation energy, kJ/mol of formula units: -1131
Electronic total energy, eV for the cell shown: -30.18

Unit cell a=7.227 b=7.229 c=8.107 alpha=92.84 beta=92.77 gamma=114.76
Fractional positions:
Cs1 0.000 0.000 0.000
Sm1 0.339 0.660 0.500
Ag1 0.687 0.312 0.500
Br1 0.023 0.350 0.673
Br2 0.031 0.603 0.256
Br3 0.396 0.968 0.744
Br4 0.420 0.361 0.293
Br5 0.638 0.580 0.707
Br6 0.648 0.976 0.326



No. 19
Density functional theory data (PBE) for crystalline Cs2SmAg2Br6 at its relaxed geometry.

## Properties
Total moment, μB/cell: 0.95
Symmetry: C2/m, No. 12
Uncorrected formation energy, kJ/mol of formula units: -1345
Electronic total energy, eV for the cell shown: -36.11

Unit cell a=8.168 b=8.168 c=9.229 alpha=117.39 beta=117.39 gamma=60.47
Fractional positions:
Cs1 0.212 0.212 0.183
Cs2 0.788 0.788 0.817
Sm1 0.000 0.000 0.500
Ag1 0.455 0.455 0.827
Ag2 0.545 0.545 0.173
Br1 0.180 0.705 0.236
Br2 0.228 0.228 0.587
Br3 0.295 0.820 0.764
Br4 0.705 0.180 0.236
Br5 0.772 0.772 0.413
Br6 0.820 0.295 0.764



No. 20
Density functional theory data (PBE) for crystalline Cs3SmAg2Br9 at its relaxed geometry.

## Properties
Total moment, μB/cell: 0.00
Symmetry: P-3m1, No. 164
Uncorrected formation energy, kJ/mol of formula units: -1931
Electronic total energy, eV for the cell shown: -48.05

Unit cell a=7.977 b=7.977 c=9.892 alpha=90.00 beta=90.00 gamma=120.00
Fractional positions:
Cs1 0.000 0.000 0.000
Cs2 0.333 0.667 0.681
Cs3 0.667 0.333 0.319
Sm1 0.000 0.000 0.500
Ag1 0.333 0.667 0.150
Ag2 0.667 0.333 0.850
Br1 0.000 0.500 0.000
Br2 0.168 0.337 0.333
Br3 0.168 0.832 0.333
Br4 0.337 0.168 0.667
Br5 0.500 0.000 0.000
Br6 0.500 0.500 0.000
Br7 0.663 0.832 0.333
Br8 0.832 0.168 0.667
Br9 0.832 0.663 0.667